Entry 1:
Below is a relaxed structure of TbPr4In2, with properties calculated at the GGA-PBE level.

a b c (Å): 9.2992 9.2992 5.6005
angles (deg): 90.00 90.00 90.00
Space group P4_2/mnm (No. 136)
One atom of each set of equivalent atoms:
Tb (0.0000, 0.0000, 0.0000) (multiplicity 2)
Pr (0.0755, 0.3240, 0.5000) (multiplicity 8)
In (0.2382, 0.2382, 0.0000) (multiplicity 4)

D(E_F)   13.65 states/eV/cell
Distance to the lowest polymorph of the same formula   0.000 eV per atom

---

Entry 2:
Below is a relaxed structure of TbPr5In2, with properties calculated at the GGA-PBE level.

a b c (Å): 7.0772 14.1591 4.9881
angles (deg): 90.00 90.00 90.00
Space group Pbam (No. 55)
One atom of each set of equivalent atoms:
Tb (0.0000, 0.0000, 0.0000) (multiplicity 2)
Pr (0.0000, 0.5000, 0.0000) (multiplicity 2)
Pr (0.0048, 0.2478, 0.0000) (multiplicity 4)
Pr (0.2483, 0.6241, 0.5000) (multiplicity 4)
In (0.2440, 0.8773, 0.5000) (multiplicity 4)

D(E_F)   23.71 states/eV/cell
E_tot   -4.52 eV/atom

---

Entry 3:
Below is a relaxed structure of Tb5Pr3In2, with properties calculated at the GGA-PBE level.

a b c (Å): 13.0016 15.6607 6.5037
angles (deg): 90.00 90.00 90.00
Space group Ibam (No. 72)
One atom of each set of equivalent atoms:
Tb (0.0000, 0.0000, 0.2500) (multiplicity 4)
Tb (0.1228, 0.1629, 0.0000) (multiplicity 8)
Tb (0.2464, 0.0000, 0.2500) (multiplicity 8)
Pr (0.0000, 0.5000, 0.2500) (multiplicity 4)
Pr (0.1176, 0.2598, 0.5000) (multiplicity 8)
In (0.1376, 0.3533, 0.0000) (multiplicity 8)

D(E_F)   55.60 states/eV/cell
E_tot   -4.26 eV/atom

---

Entry 4:
Below is a relaxed structure of Tb4Pr9In11, with properties calculated at the GGA-PBE level.

a b c (Å): 18.2143 21.6545 3.5655
angles (deg): 90.00 90.00 90.00
Space group Cmmm (No. 65)
One atom of each set of equivalent atoms:
Tb (0.1526, 0.0850, 0.0000) (multiplicity 8)
Pr (0.0000, 0.0000, 0.0000) (multiplicity 2)
Pr (0.1159, 0.2416, 0.0000) (multiplicity 8)
Pr (0.1221, 0.4133, 0.0000) (multiplicity 8)
In (0.0000, 0.1352, 0.5000) (multiplicity 4)
In (0.0000, 0.3329, 0.5000) (multiplicity 4)
In (0.0000, 0.5000, 0.5000) (multiplicity 2)
In (0.2404, 0.5000, 0.5000) (multiplicity 4)
In (0.2448, 0.3235, 0.5000) (multiplicity 8)

D(E_F)   42.40 states/eV/cell
E_tot   -4.23 eV/atom

---

Entry 5:
Below is a relaxed structure of Tb3PrIn4, with properties calculated at the GGA-PBE level.

a b c (Å): 3.4669 7.2266 18.8850
angles (deg): 90.00 90.00 90.00
Space group Immm (No. 71)
One atom of each set of equivalent atoms:
Tb (0.0000, 0.0000, 0.0000) (multiplicity 2)
Tb (0.0000, 0.5000, 0.2188) (multiplicity 4)
Pr (0.0000, 0.0000, 0.5000) (multiplicity 2)
In (0.0000, 0.2921, 0.3715) (multiplicity 8)

D(E_F)   13.67 states/eV/cell
Distance to the lowest polymorph of the same formula   0.164 eV per atom

---

Entry 6:
Below is a relaxed structure of TbPrIn4, with properties calculated at the GGA-PBE level.

a b c (Å): 10.4468 18.2132 3.5370
angles (deg): 90.00 90.00 90.00
Space group Pbam (No. 55)
One atom of each set of equivalent atoms:
Tb (0.1183, 0.0741, 0.0000) (multiplicity 4)
Pr (0.0798, 0.3646, 0.0000) (multiplicity 4)
In (0.0128, 0.2110, 0.5000) (multiplicity 4)
In (0.1303, 0.5285, 0.5000) (multiplicity 4)
In (0.1540, 0.9203, 0.5000) (multiplicity 4)
In (0.2045, 0.6914, 0.5000) (multiplicity 4)

D(E_F)   16.60 states/eV/cell
Distance to the lowest polymorph of the same formula   0.060 eV per atom

---

Entry 7:
Below is a relaxed structure of Tb12Pr6In, with properties calculated at the GGA-PBE level.

a b c (Å): 12.0364 12.0364 15.0700
angles (deg): 90.00 90.00 120.00
Space group R-3 (No. 148, hexagonal axes)
One atom of each set of equivalent atoms:
Tb (0.9998, 0.1718, 0.1861) (multiplicity 18)
Tb (0.0461, 0.1940, 0.4161) (multiplicity 18)
Pr (0.0131, 0.5908, 0.6832) (multiplicity 18)
In (0.0000, 0.0000, 0.0000) (multiplicity 3)

D(E_F)   74.32 states/eV/cell
E_tot   -4.51 eV/atom

---

Entry 8:
Below is a relaxed structure of Tb12PrIn3, with properties calculated at the GGA-PBE level.

a b c (Å): 4.8839 4.8839 19.9780
angles (deg): 90.00 90.00 90.00
Space group P4/mmm (No. 123)
One atom of each set of equivalent atoms:
Tb (0.0000, 0.0000, 0.0000) (multiplicity 1)
Tb (0.0000, 0.0000, 0.2434) (multiplicity 2)
Tb (0.0000, 0.0000, 0.5000) (multiplicity 1)
Tb (0.0000, 0.5000, 0.1223) (multiplicity 4)
Tb (0.0000, 0.5000, 0.3669) (multiplicity 4)
Pr (0.5000, 0.5000, 0.5000) (multiplicity 1)
In (0.5000, 0.5000, 0.0000) (multiplicity 1)
In (0.5000, 0.5000, 0.2429) (multiplicity 2)

D(E_F)   20.46 states/eV/cell
E_tot   -4.47 eV/atom